Computed, not measured: a geometry-optimized Li2MoSe4 structure at the GGA-PBE level of DFT.

Cell: 7.7371 7.7371 7.7371 Å, 60.00 60.00 60.00°
Sites, in units of the cell vectors:
Li1 0.6250 0.1250 0.1250
Se1 0.3768 0.3768 0.3768
Mo1 0.5000 0.5000 0.5000
Se2 0.8732 0.8732 0.3804
Mo2 0.7500 0.7500 0.7500
Li2 0.1250 0.6250 0.1250
Se3 0.8696 0.3768 0.3768
Se4 0.3804 0.8732 0.8732
Se5 0.8732 0.3804 0.8732
Li3 0.1250 0.1250 0.1250
Se6 0.8732 0.8732 0.8732
Li4 0.1250 0.1250 0.6250
Se7 0.3768 0.8696 0.3768
Se8 0.3768 0.3768 0.8696

Computed properties:
Energy, eV per atom: -4.69